Entry 1:
Entry from Alexandria via LeMat-Bulk: crystalline LuTaMnOs at its relaxed geometry (GGA-PBE).

Structure (POSCAR):
```
LuTaMnOs
1.0
0.0000 3.2100 3.2100
3.2100 0.0000 3.2100
3.2100 3.2100 0.0000
Lu Ta Mn Os
1 1 1 1
Direct
0.0000 0.0000 0.0000
0.5000 0.5000 0.5000
0.7500 0.7500 0.7500
0.2500 0.2500 0.2500
```

## Properties
- Energy of formation from the pure elements: -0.15 eV/atom
- Crystal system: cubic
- Magnetization: 0.15 μB per atom

Entry 2:
Entry from Alexandria via LeMat-Bulk: crystalline LaRuBr2 at its relaxed geometry (GGA-PBE).

Structure (POSCAR):
```
LaRuBr2
1.0
-2.3722 2.3722 4.2495
2.3722 -2.3722 4.2495
2.3722 2.3722 -4.2495
La Ru Br
1 1 2
Direct
0.0000 0.0000 0.0000
0.5000 0.5000 0.0000
0.2500 0.7500 0.5000
0.7500 0.2500 0.5000
```

## Properties
- Crystal system: tetragonal
- Magnetization: 0.57 μB per atom
- E_form (uncorrected): -0.2627 eV/atom